Computed, not measured: an optimized crystal structure of AcVCd2O6 at the PBE with a Hubbard U level of DFT.

Cell: 5.765 5.765 5.212 Å, 90.00 90.00 90.00°
Space group P4mm (No. 99)
Symmetry-distinct sites (fractional):
Ac (0.000, 0.000, 0.000) x1
V (0.500, 0.500, 0.068) x1
Cd (0.000, 0.500, 0.390) x2
O (0.000, 0.000, 0.549) x1
O (0.280, 0.280, 0.178) x4
O (0.500, 0.500, 0.747) x1

Computed properties:
Total DFT energy (no corrections): -6.010 eV per atom